# BaCr2Ru, optimized geometry, DFT PBE-GGA
# - Raw total energy: -6.85 eV/atom
# - Density of states at the Fermi level: 5.3 states/eV per cell
# - Energy of formation from the pure elements: 0.759 eV/atom
# - Distance to the lowest polymorph of the same formula: 237 meV/atom
data_BaCr2Ru
_chemical_formula_sum 'Ba2 Cr4 Ru2'
_space_group_name_H-M_alt 'I m m 2'
_space_group_IT_number 44
_space_group_name_Hall 'I 2 -2'
_cell_length_a 3.681
_cell_length_b 4.428
_cell_length_c 11.409
_cell_angle_alpha 90.00
_cell_angle_beta 90.00
_cell_angle_gamma 90.00
loop_
_atom_site_label
_atom_site_type_symbol
_atom_site_fract_x
_atom_site_fract_y
_atom_site_fract_z
_atom_site_occupancy
Ba1 Ba 0.000 0.000 0.000 1
Cr1 Cr 0.000 0.000 0.660 1
Cr2 Cr 0.000 0.500 0.760 1
Ru1 Ru 0.000 0.500 0.267 1